The following is a DFT calculation (PBEsol) of a relaxed structure of AlSbCl2.

Properties
Formation energy without anion corrections   0.07 eV/atom
Density of states at the Fermi level   2.406 states/eV/f.u.
V   242.9 Å³ per cell
Space-group type   I-42d, No. 122

The structure in extended XYZ format:
```
8
Lattice="-3.556 3.556 4.803 3.556 -3.556 4.803 3.556 3.556 -4.803" Properties=species:S:1:pos:R:3 pbc="T T T"
Al 0.000 0.000 0.000
Al 0.000 3.556 2.401
Sb 3.556 0.000 2.401
Sb 0.000 0.000 4.803
Cl 0.730 1.778 1.201
Cl -1.778 2.825 3.602
Cl -0.730 5.334 1.201
Cl 1.778 4.286 3.602
```

---

The following is a DFT calculation (PBEsol) of a relaxed structure of LiCdFeOs2.

Properties
Density of states at the Fermi level   4.984 states/eV/f.u.
ΔH_f (0 K)   2.574 eV per atom
V   111.7 Å³ per cell
Space-group type   P4/mmm, No. 123

The structure in extended XYZ format:
```
5
Lattice="4.886 0.000 0.000 0.000 4.886 0.000 0.000 0.000 4.679" Properties=species:S:1:pos:R:3 pbc="T T T"
Li 0.000 0.000 0.000
Cd 2.443 2.443 2.339
Fe 2.443 2.443 0.000
Os 0.000 2.443 2.339
Os 2.443 0.000 2.339
```

---

The following is a DFT calculation (PBEsol) of a relaxed structure of ZrOs2Se.

Properties
Formation energy without anion corrections   0.14 eV/atom
Density of states at the Fermi level   3.861 states/eV/f.u.
V   64.4 Å³ per cell
Space-group type   P2/m, No. 10

The structure in extended XYZ format:
```
4
Lattice="2.951 0.000 0.000 0.000 4.584 0.000 -0.432 0.000 4.764" Properties=species:S:1:pos:R:3 pbc="T T T"
Zr 0.000 0.000 0.000
Os 0.599 2.292 3.522
Os 1.920 2.292 1.242
Se 1.259 0.000 2.382
```

---

The following is a DFT calculation (PBEsol) of a relaxed structure of Rb2TlSb2.

Properties
Formation energy without anion corrections   -0.26 eV/atom
Density of states at the Fermi level   1.806 states/eV/f.u.
V   378.1 Å³ per cell
Space-group type   P4/mbm, No. 127

The structure in extended XYZ format:
```
10
Lattice="8.087 0.000 0.000 0.000 8.087 0.000 0.000 0.000 5.781" Properties=species:S:1:pos:R:3 pbc="T T T"
Rb 1.388 2.655 0.000
Rb 2.655 6.699 0.000
Rb 5.432 1.388 0.000
Rb 6.699 5.432 0.000
Tl 0.000 0.000 2.891
Tl 4.044 4.044 2.891
Sb 1.007 5.051 2.891
Sb 3.036 1.007 2.891
Sb 5.051 7.080 2.891
Sb 7.080 3.036 2.891
```

---

The following is a DFT calculation (PBEsol) of a relaxed structure of AlTcTeI2.

Properties
Formation energy without anion corrections   0.93 eV/atom
Density of states at the Fermi level   2.669 states/eV/f.u.
V   155.0 Å³ per cell
Space-group type   P4/mmm, No. 123

The structure in extended XYZ format:
```
5
Lattice="5.323 0.000 0.000 0.000 5.323 0.000 0.000 0.000 5.471" Properties=species:S:1:pos:R:3 pbc="T T T"
Al 0.000 0.000 0.000
Tc 2.662 2.662 2.735
Te 0.000 0.000 2.735
I 0.000 2.662 0.000
I 2.662 0.000 0.000
```

---

The following is a DFT calculation (PBEsol) of a relaxed structure of Al4InAgS8.

Properties
Formation energy without anion corrections   -0.88 eV/atom
V   266.6 Å³ per cell
Space-group type   R3m, No. 160

The structure in extended XYZ format:
```
14
Lattice="3.588 2.072 5.978 -3.588 2.072 5.978 0.000 -4.143 5.978" Properties=species:S:1:pos:R:3 pbc="T T T"
Al 0.000 0.000 0.000
Al 0.000 -1.960 9.693
Al -1.697 0.980 9.693
Al 1.697 0.980 9.693
In 0.000 0.000 6.830
Ag 0.000 0.000 13.383
S 0.000 -1.986 5.107
S -1.720 0.993 5.107
S 0.000 0.000 2.384
S -1.700 -0.981 8.416
S 1.720 0.993 5.107
S 0.000 0.000 11.014
S 1.700 -0.981 8.416
S 0.000 1.963 8.416
```

---

The following is a DFT calculation (PBEsol) of a relaxed structure of Na2BeF4.

Properties
Formation energy without anion corrections   -3.02 eV/atom
Density of states at the Fermi level   0.000 states/eV/f.u.
V   345.6 Å³ per cell
Space-group type   P2_1/c, No. 14

The structure in extended XYZ format:
```
28
Lattice="5.563 0.000 0.000 0.000 7.974 0.000 -4.217 0.000 7.791" Properties=species:S:1:pos:R:3 pbc="T T T"
Na -1.100 1.236 2.917
Na -3.208 2.751 6.813
Na 1.405 0.112 1.051
Na -0.703 3.874 4.947
Na 2.049 4.099 2.844
Na -0.060 7.861 6.740
Na 4.554 5.223 0.979
Na 2.445 6.738 4.874
Be -2.624 5.557 7.503
Be -0.515 6.403 3.607
Be 1.861 1.571 4.184
Be 3.970 2.416 0.289
F -1.727 5.430 3.376
F -3.836 6.531 7.272
F -2.347 4.849 6.160
F -0.239 7.112 2.265
F 1.185 4.511 0.787
F -0.924 7.449 4.683
F -1.458 1.550 7.611
F 0.650 2.437 3.715
F 0.695 5.537 4.076
F 2.804 6.424 0.180
F 2.270 0.524 3.108
F 0.161 3.463 7.004
F 1.585 0.862 5.527
F 3.693 3.125 1.631
F 5.182 1.443 0.519
F 3.073 2.544 4.415
```

---

The following is a DFT calculation (PBEsol) of a relaxed structure of Sc2HgAsIr.

Properties
Density of states at the Fermi level   4.379 states/eV/f.u.
ΔH_f (0 K)   -0.061 eV per atom
V   120.9 Å³ per cell
Space-group type   P4/mmm, No. 123

The structure in extended XYZ format:
```
5
Lattice="4.897 0.000 0.000 0.000 4.897 0.000 0.000 0.000 5.042" Properties=species:S:1:pos:R:3 pbc="T T T"
Sc 0.000 2.448 0.000
Sc 2.448 0.000 0.000
Hg 0.000 0.000 2.521
As 2.448 2.448 2.521
Ir 0.000 0.000 0.000
```

---

The following is a DFT calculation (PBEsol) of a relaxed structure of BaCa2Tl.

Properties
Density of states at the Fermi level   3.443 states/eV/f.u.
ΔH_f (0 K)   -0.184 eV per atom
V   143.1 Å³ per cell
Space-group type   F-43m, No. 216

The structure in extended XYZ format:
```
4
Lattice="0.000 4.151 4.151 4.151 0.000 4.151 4.151 4.151 0.000" Properties=species:S:1:pos:R:3 pbc="T T T"
Ba 0.000 0.000 0.000
Ca 2.076 2.076 2.076
Ca 4.151 4.151 4.151
Tl 6.227 6.227 6.227
```

---

The following is a DFT calculation (PBEsol) of a relaxed structure of Mg2InIr.

Properties
Density of states at the Fermi level   1.456 states/eV/f.u.
ΔH_f (0 K)   -0.261 eV per atom
V   68.7 Å³ per cell
Space-group type   I-4m2, No. 119

The structure in extended XYZ format:
```
4
Lattice="-2.051 2.051 4.083 2.051 -2.051 4.083 2.051 2.051 -4.083" Properties=species:S:1:pos:R:3 pbc="T T T"
Mg 0.000 0.000 0.000
Mg 0.000 2.051 2.042
In 2.051 0.000 2.042
Ir 0.000 0.000 4.083
```

---

The following is a DFT calculation (PBEsol) of a relaxed structure of CsFe2P2.

Properties
Density of states at the Fermi level   3.699 states/eV/f.u.
ΔH_f (0 K)   -0.550 eV per atom
V   98.1 Å³ per cell
Space-group type   I4/mmm, No. 139

The structure in extended XYZ format:
```
5
Lattice="-1.882 1.882 6.928 1.882 -1.882 6.928 1.882 1.882 -6.928" Properties=species:S:1:pos:R:3 pbc="T T T"
Cs 0.000 0.000 0.000
Fe 1.882 0.000 3.464
Fe 0.000 1.882 3.464
P 0.000 0.000 4.528
P 0.000 0.000 9.328
```

---

The following is a DFT calculation (PBEsol) of a relaxed structure of Be2CoO.

Properties
Formation energy without anion corrections   -0.63 eV/atom
Density of states at the Fermi level   3.196 states/eV/f.u.
V   73.7 Å³ per cell
Space-group type   I-42d, No. 122

The structure in extended XYZ format:
```
8
Lattice="-2.412 2.412 3.166 2.412 -2.412 3.166 2.412 2.412 -3.166" Properties=species:S:1:pos:R:3 pbc="T T T"
Be 1.206 0.703 -0.792
Be 1.709 -1.206 3.958
Be 1.206 1.709 2.375
Be 0.703 3.618 0.792
Co 2.412 0.000 1.583
Co 0.000 0.000 3.166
O 0.000 0.000 0.000
O 0.000 2.412 1.583
```